Density functional theory data (PBE) for a relaxed Cd2SnPtI crystal.

Computed properties:
The density of states at the Fermi level comes out at 0.53 states/eV/atom. As for the energy relative to the elements, uncorrected: -0.232 eV/atom. The total energy comes out at -0.2144 Ry/atom. The space group is P4/mmm.

Cell lengths 5.391, 5.391, 5.098 Å; angles 90.00, 90.00, 90.00 degrees
Fractional coordinates of all 5 atoms:
Pt1 0.000 0.000 0.000
I1 0.500 0.500 0.500
Cd1 0.500 0.000 0.000
Sn1 0.000 0.000 0.500
Cd2 0.000 0.500 0.000